<a>
MnRuAu2 | PBE | relaxed

a = 2.8752 Å, b = 2.8752 Å, c = 27.1146 Å
α = 90.00°, β = 90.00°, γ = 120.00°
Space group R-3m (No. 166, hexagonal axes)
Symmetry-distinct sites (fractional):
Mn 0.0000 0.0000 0.0000 [3 per cell]
Ru 0.0000 0.0000 0.5000 [3 per cell]
Au 0.0000 0.0000 0.2522 [6 per cell]

***

<b>
MnRuAu2 | PBE | relaxed

a = 6.375 Å, b = 6.375 Å, c = 6.375 Å
α = 90.00°, β = 90.00°, γ = 90.00°
Space group F-43m (No. 216)
Symmetry-distinct sites (fractional):
Mn 0.000 0.000 0.000 [4 per cell]
Ru 0.250 0.250 0.750 [4 per cell]
Au 0.000 0.000 0.500 [4 per cell]
Au 0.250 0.250 0.250 [4 per cell]

***

Stability summary - winner: <b>; margin: 0.025 eV/atom.

***

<a>
MnRuAu2 | PBE | relaxed

a = 7.278 Å, b = 7.278 Å, c = 5.365 Å
α = 90.00°, β = 90.00°, γ = 90.00°
Space group I-42d (No. 122)
Symmetry-distinct sites (fractional):
Mn 0.000 0.000 0.000 [4 per cell]
Ru 0.000 0.000 0.500 [4 per cell]
Au 0.244 0.250 0.125 [8 per cell]

***

<b>
MnRuAu2 | PBE | relaxed

a = 3.146 Å, b = 3.146 Å, c = 6.460 Å
α = 90.00°, β = 90.00°, γ = 90.00°
Space group P4mm (No. 99)
Symmetry-distinct sites (fractional):
Mn 0.000 0.000 0.000 [1 per cell]
Ru 0.500 0.500 0.192 [1 per cell]
Au 0.000 0.000 0.464 [1 per cell]
Au 0.500 0.500 0.749 [1 per cell]

***

<c>
MnRuAu2 | PBE | relaxed

a = 2.8730 Å, b = 2.8730 Å, c = 27.0025 Å
α = 90.00°, β = 90.00°, γ = 120.00°
Space group R3m (No. 160, hexagonal axes)
Symmetry-distinct sites (fractional):
Mn 0.0000 0.0000 0.0000 [3 per cell]
Ru 0.0000 0.0000 0.2629 [3 per cell]
Au 0.0000 0.0000 0.5077 [3 per cell]
Au 0.0000 0.0000 0.7481 [3 per cell]

***

Stability summary - winner: <b>; margin: 0.025 eV/atom.

***

<a>
MnRu2Au | PBE | relaxed

a = 9.039 Å, b = 2.822 Å, c = 4.750 Å
α = 90.00°, β = 100.70°, γ = 90.00°
Space group Cm (No. 8)
Symmetry-distinct sites (fractional):
Mn 0.000 0.000 0.000 [2 per cell]
Ru 0.008 0.500 0.539 [2 per cell]
Ru 0.251 0.000 0.735 [2 per cell]
Au 0.252 0.500 0.241 [2 per cell]

***

<b>
MnRu2Au | PBE | relaxed

a = 2.879 Å, b = 4.640 Å, c = 9.129 Å
α = 90.00°, β = 90.00°, γ = 90.00°
Space group Cmm2 (No. 35)
Symmetry-distinct sites (fractional):
Mn 0.000 0.000 0.000 [2 per cell]
Ru 0.000 0.000 0.530 [2 per cell]
Ru 0.000 0.500 0.770 [2 per cell]
Au 0.000 0.500 0.256 [2 per cell]

***

<c>
MnRu2Au | PBE | relaxed

a = 2.819 Å, b = 3.784 Å, c = 5.614 Å
α = 90.00°, β = 90.00°, γ = 90.00°
Space group Pmm2 (No. 25)
Symmetry-distinct sites (fractional):
Mn 0.000 0.000 0.000 [1 per cell]
Ru 0.000 0.000 0.453 [1 per cell]
Ru 0.500 0.500 0.251 [1 per cell]
Au 0.500 0.500 0.745 [1 per cell]

***

Stability summary - winner: <c>; margin: 0.073 eV/atom.

***

<a>
MnRu2Au | PBE | relaxed

a = 2.790 Å, b = 2.790 Å, c = 7.759 Å
α = 90.00°, β = 90.00°, γ = 90.00°
Space group P4mm (No. 99)
Symmetry-distinct sites (fractional):
Mn 0.000 0.000 0.000 [1 per cell]
Ru 0.000 0.000 0.461 [1 per cell]
Ru 0.500 0.500 0.243 [1 per cell]
Au 0.500 0.500 0.740 [1 per cell]

***

<b>
MnRu2Au | PBE | relaxed

a = 3.862 Å, b = 3.862 Å, c = 7.884 Å
α = 90.00°, β = 90.00°, γ = 90.00°
Space group I4/mmm (No. 139)
Symmetry-distinct sites (fractional):
Mn 0.000 0.000 0.000 [2 per cell]
Ru 0.000 0.500 0.250 [4 per cell]
Au 0.000 0.000 0.500 [2 per cell]

***

Stability summary - winner: <a>; margin: 0.131 eV/atom.

***

<a>
MnRu2Au | PBE | relaxed

a = 3.864 Å, b = 3.864 Å, c = 7.829 Å
α = 90.00°, β = 90.00°, γ = 90.00°
Space group I-4m2 (No. 119)
Symmetry-distinct sites (fractional):
Mn 0.000 0.000 0.000 [2 per cell]
Ru 0.000 0.000 0.500 [2 per cell]
Ru 0.000 0.500 0.250 [2 per cell]
Au 0.000 0.500 0.750 [2 per cell]

***

<b>
MnRu2Au | PBE | relaxed

a = 2.772 Å, b = 3.677 Å, c = 5.785 Å
α = 90.00°, β = 90.00°, γ = 90.00°
Space group Pmmm (No. 47)
Symmetry-distinct sites (fractional):
Mn 0.000 0.000 0.000 [1 per cell]
Ru 0.500 0.500 0.217 [2 per cell]
Au 0.000 0.000 0.500 [1 per cell]

***

<c>
MnRu2Au | PBE | relaxed

a = 2.840 Å, b = 4.450 Å, c = 9.456 Å
α = 90.00°, β = 90.00°, γ = 90.00°
Space group Immm (No. 71)
Symmetry-distinct sites (fractional):
Mn 0.000 0.000 0.000 [2 per cell]
Ru 0.000 0.500 0.281 [4 per cell]
Au 0.000 0.000 0.500 [2 per cell]

***

Stability summary - winner: <a>; margin: 0.058 eV/atom.

***

<a>
MnRu2Au | PBE | relaxed

a = 2.7091 Å, b = 2.7091 Å, c = 27.0074 Å
α = 90.00°, β = 90.00°, γ = 120.00°
Space group R-3m (No. 166, hexagonal axes)
Symmetry-distinct sites (fractional):
Mn 0.0000 0.0000 0.0000 [3 per cell]
Ru 0.0000 0.0000 0.2600 [6 per cell]
Au 0.0000 0.0000 0.5000 [3 per cell]

***

<b>
MnRu2Au | PBE | relaxed

a = 4.706 Å, b = 2.810 Å, c = 4.720 Å
α = 90.00°, β = 108.78°, γ = 90.00°
Space group P2/m (No. 10)
Symmetry-distinct sites (fractional):
Mn 0.000 0.000 0.000 [1 per cell]
Ru 0.500 0.000 0.500 [1 per cell]
Ru 0.500 0.500 0.000 [1 per cell]
Au 0.000 0.500 0.500 [1 per cell]

***

<c>
MnRu2Au | PBE | relaxed

a = 6.894 Å, b = 6.894 Å, c = 5.226 Å
α = 90.00°, β = 90.00°, γ = 90.00°
Space group I-42d (No. 122)
Symmetry-distinct sites (fractional):
Mn 0.000 0.000 0.000 [4 per cell]
Ru 0.191 0.750 0.125 [8 per cell]
Au 0.000 0.000 0.500 [4 per cell]

***

<d>
MnRu2Au | PBE | relaxed

a = 5.456 Å, b = 7.656 Å, c = 2.831 Å
α = 90.00°, β = 90.00°, γ = 90.00°
Space group Cmmm (No. 65)
Symmetry-distinct sites (fractional):
Mn 0.000 0.000 0.000 [2 per cell]
Ru 0.250 0.250 0.500 [4 per cell]
Au 0.000 0.500 0.000 [2 per cell]

***

Stability summary - winner: <a>; margin: 0.028 eV/atom.

***

<a>
MnRu2Au | PBE | relaxed

a = 3.870 Å, b = 3.870 Å, c = 3.912 Å
α = 90.00°, β = 90.00°, γ = 90.00°
Space group P4/mmm (No. 123)
Symmetry-distinct sites (fractional):
Mn 0.000 0.000 0.000 [1 per cell]
Ru 0.000 0.500 0.500 [2 per cell]
Au 0.500 0.500 0.000 [1 per cell]

***

<b>
MnRu2Au | PBE | relaxed

a = 9.138 Å, b = 2.791 Å, c = 4.739 Å
α = 90.00°, β = 102.50°, γ = 90.00°
Space group C2/m (No. 12)
Symmetry-distinct sites (fractional):
Mn 0.000 0.000 0.000 [2 per cell]
Ru 0.235 0.500 0.227 [4 per cell]
Au 0.000 0.500 0.500 [2 per cell]

***

Stability summary - winner: <a>; margin: 0.012 eV/atom.

***

<a>
MnRuAu2S | PBE | relaxed

a = 4.853 Å, b = 4.853 Å, c = 4.356 Å
α = 90.00°, β = 90.00°, γ = 90.00°
Space group P4/mmm (No. 123)
Symmetry-distinct sites (fractional):
Mn 0.000 0.000 0.000 [1 per cell]
Ru 0.000 0.000 0.500 [1 per cell]
Au 0.000 0.500 0.000 [2 per cell]
S 0.500 0.500 0.500 [1 per cell]

***

<b>
MnRuAu2S | PBE | relaxed

a = 4.746 Å, b = 4.746 Å, c = 4.324 Å
α = 90.00°, β = 90.00°, γ = 90.00°
Space group P4/mmm (No. 123)
Symmetry-distinct sites (fractional):
Mn 0.000 0.000 0.000 [1 per cell]
Ru 0.500 0.500 0.000 [1 per cell]
Au 0.000 0.500 0.500 [2 per cell]
S 0.500 0.500 0.500 [1 per cell]

***

Stability summary - winner: <b>; margin: 0.557 eV/atom.

***

<a>
Mn3AuS | PBE | relaxed

a = 4.106 Å, b = 4.106 Å, c = 4.106 Å
α = 90.00°, β = 90.00°, γ = 90.00°
Space group Pm-3m (No. 221)
Symmetry-distinct sites (fractional):
Mn 0.000 0.000 0.500 [3 per cell]
Au 0.500 0.500 0.500 [1 per cell]
S 0.000 0.000 0.000 [1 per cell]

***

<b>
Mn3AuS | PBE | relaxed

a = 4.918 Å, b = 4.918 Å, c = 4.918 Å
α = 90.00°, β = 90.00°, γ = 90.00°
Space group Pm-3m (No. 221)
Symmetry-distinct sites (fractional):
Mn 0.000 0.000 0.500 [3 per cell]
Au 0.000 0.000 0.000 [1 per cell]
S 0.500 0.500 0.500 [1 per cell]

***

Stability summary - winner: <a>; margin: 0.493 eV/atom.

***

<a>
MnSiAuS | PBE | relaxed

a = 2.838 Å, b = 3.610 Å, c = 12.088 Å
α = 90.00°, β = 90.00°, γ = 90.00°
Space group Amm2 (No. 38)
Symmetry-distinct sites (fractional):
Mn 0.000 0.000 0.000 [2 per cell]
Si 0.500 0.000 0.558 [2 per cell]
Au 0.500 0.000 0.210 [2 per cell]
S 0.500 0.000 0.862 [2 per cell]

***

<b>
MnSiAuS | PBE | relaxed

a = 3.0382 Å, b = 3.0382 Å, c = 23.5839 Å
α = 90.00°, β = 90.00°, γ = 120.00°
Space group R3m (No. 160, hexagonal axes)
Symmetry-distinct sites (fractional):
Mn 0.0000 0.0000 0.0000 [3 per cell]
Si 0.0000 0.0000 0.5945 [3 per cell]
Au 0.0000 0.0000 0.4939 [3 per cell]
S 0.0000 0.0000 0.3885 [3 per cell]

***

Stability summary - winner: <b>; margin: 0.036 eV/atom.

***

<a>
MnSiAuS | PBE | relaxed

a = 3.0355 Å, b = 3.0355 Å, c = 7.8463 Å
α = 90.00°, β = 90.00°, γ = 120.00°
Space group P3m1 (No. 156)
Symmetry-distinct sites (fractional):
Mn 0.0000 0.0000 0.0000 [1 per cell]
Si 0.3333 0.6667 0.2091 [1 per cell]
Au 0.3333 0.6667 0.5123 [1 per cell]
S 0.3333 0.6667 0.8308 [1 per cell]

***

<b>
MnSiAuS | PBE | relaxed

a = 2.922 Å, b = 3.059 Å, c = 7.839 Å
α = 84.77°, β = 79.86°, γ = 62.06°
Space group P1 (No. 1)
Symmetry-distinct sites (fractional):
Mn 0.000 0.000 0.000 [1 per cell]
Si 0.779 0.648 0.785 [1 per cell]
Au 0.455 0.632 0.509 [1 per cell]
S 0.591 0.651 0.173 [1 per cell]

***

<c>
MnSiAuS | PBE | relaxed

a = 2.810 Å, b = 2.810 Å, c = 7.694 Å
α = 90.00°, β = 90.00°, γ = 90.00°
Space group P4mm (No. 99)
Symmetry-distinct sites (fractional):
Mn 0.000 0.000 0.000 [1 per cell]
Si 0.500 0.500 0.202 [1 per cell]
Au 0.500 0.500 0.514 [1 per cell]
S 0.500 0.500 0.842 [1 per cell]

***

<d>
MnSiAuS | PBE | relaxed

a = 7.522 Å, b = 2.819 Å, c = 6.220 Å
α = 90.00°, β = 105.80°, γ = 90.00°
Space group Cm (No. 8)
Symmetry-distinct sites (fractional):
Mn 0.000 0.000 0.000 [2 per cell]
Si 0.076 0.500 0.316 [2 per cell]
Au 0.366 0.000 0.561 [2 per cell]
S 0.274 0.000 0.942 [2 per cell]

***

Stability summary - winner: <a>; margin: 0.038 eV/atom.